1.
Below is crystalline Ta2WAu at its relaxed geometry, with properties calculated at the GGA-PBE level.

Output
ρ, g cm⁻³: 17.63
ΔE_f, eV/atom: 0.28
N(E_F), states/eV/f.u.: 4.5
E above lowest polymorph, eV per atom: 0.324

abc: 6.5405 6.5405 6.5405
angles: 90.00 90.00 90.00
Last column: nearest neighbours and their distance in Å.
Space group F-43m (No. 216)
Symmetry-distinct sites (fractional):
Ta 0.0000 0.0000 0.0000  4 Ta 2.83, 4 W 2.83
Ta 0.2500 0.2500 0.2500  4 Ta 2.83, 4 Au 2.83
W 0.2500 0.2500 0.7500  4 Ta 2.83, 4 Au 2.83
Au 0.0000 0.0000 0.5000  4 Ta 2.83, 4 W 2.83

=====

2.
Below is crystalline TlCr2Hg at its relaxed geometry, with properties calculated at the GGA-PBE level.

Output
ρ, g cm⁻³: 10.93
ΔE_f, eV/atom: 0.53
N(E_F), states/eV/f.u.: 2.7

abc: 3.2532 4.7986 9.9099
angles: 90.00 90.00 90.00
Last column: nearest neighbours and their distance in Å.
Space group Imm2 (No. 44)
Symmetry-distinct sites (fractional):
Tl 0.0000 0.0000 0.0000  6 Cr 2.93-3.13, 4 Hg 3.22-3.24, 2 Tl 3.25
Cr 0.0000 0.0000 0.5433  2 Cr 2.47
Cr 0.0000 0.5000 0.2302  2 Cr 2.47
Hg 0.0000 0.5000 0.7805  6 Cr 2.94-3.07, 4 Tl 3.22-3.24, 2 Hg 3.25

=====

3.
Below is crystalline Sm3Ni2Pt7 at its relaxed geometry, with properties calculated at the GGA-PBE level.

Output
ρ, g cm⁻³: 14.68
ΔE_f, eV/atom: -0.87
N(E_F), states/eV/f.u.: 11.0

abc: 5.4314 5.4314 25.6860
angles: 90.00 90.00 120.00
Last column: nearest neighbours and their distance in Å.
Space group R-3m (No. 166, hexagonal axes)
Symmetry-distinct sites (fractional):
Sm 0.0000 0.0000 0.0000  6 Ni 3.14, 12 Pt 3.40
Sm 0.0000 0.0000 0.1387  12 Pt 3.11-3.33, 3 Sm 3.45
Ni 0.0000 0.0000 0.3333  6 Pt 2.57-2.59
Pt 0.0000 0.0000 0.5000  6 Pt 2.74
Pt 0.0035 0.5017 0.9202  2 Ni 2.57-2.59, 5 Pt 2.69-2.74

=====

4.
Below is crystalline ZnRuS2Br at its relaxed geometry, with properties calculated at the GGA-PBE level.

Output
ρ, g cm⁻³: 4.82
E_form (uncorrected), kJ/mol of formula units: 63
N(E_F), states/eV/f.u.: 2.8

abc: 4.4305 4.4305 5.4456
angles: 90.00 90.00 90.00
Last column: nearest neighbours and their distance in Å.
Space group P4/mmm (No. 123)
Symmetry-distinct sites (fractional):
Zn 0.0000 0.0000 0.0000  2 Ru 2.72
Ru 0.0000 0.0000 0.5000  4 S 2.22
S 0.0000 0.5000 0.5000  2 Ru 2.22
Br 0.5000 0.5000 0.0000  4 Zn 3.13

=====

> Which of these has the lowest ρ?

ZnRuS2Br

=====

> Among the records above, which one has the highest N(E_F)?

Sm3Ni2Pt7

=====

> Look up the ρ of the fourth one.

4.82 g cm⁻³